No. 1
Material: Li2CeZnO4
Method: DFT, PBE-GGA
State: relaxed

It has space group Cmcm (No. 63), with a = 3.329 Å, b = 11.694 Å, c = 9.489 Å, α = 90.00°, β = 90.00° and γ = 90.00°. The inequivalent atoms are Li at (0.000, 0.093, 0.041), Ce at (0.000, 0.417, 0.250), Zn at (0.000, 0.311, 0.750), O at (0.000, 0.090, 0.250), O at (0.000, 0.176, 0.623) and O at (0.000, 0.500, 0.000).

Its crystal system is orthorhombic. The calculation puts the total magnetization at 0.36 μB per cell. The calculated total energy is -5.987 eV/atom.


No. 2
Material: LiCePaOs
Method: DFT, PBE-GGA
State: relaxed

It has space group F-43m (No. 216), with a = 6.941 Å, b = 6.941 Å, c = 6.941 Å, α = 90.00°, β = 90.00° and γ = 90.00°. The inequivalent atoms are Li at (0.000, 0.000, 0.000), Ce at (0.250, 0.250, 0.250), Pa at (0.250, 0.250, 0.750) and Os at (0.000, 0.000, 0.500).

Its crystal system is cubic. The calculation puts the total magnetization at 0.01 μB per cell. Its density of states at the Fermi level is 6.247 states/eV/f.u. The formation energy is 0.018 eV/atom.


Please write out number 1 again, unchanged.
Material: Li2CeZnO4
Method: DFT, PBE-GGA
State: relaxed

It has space group Cmcm (No. 63), with a = 3.329 Å, b = 11.694 Å, c = 9.489 Å, α = 90.00°, β = 90.00° and γ = 90.00°. The inequivalent atoms are Li at (0.000, 0.093, 0.041), Ce at (0.000, 0.417, 0.250), Zn at (0.000, 0.311, 0.750), O at (0.000, 0.090, 0.250), O at (0.000, 0.176, 0.623) and O at (0.000, 0.500, 0.000).

Its crystal system is orthorhombic. The calculation puts the total magnetization at 0.36 μB per cell. The calculated total energy is -5.987 eV/atom.


Please write out number 2 again, unchanged.
Material: LiCePaOs
Method: DFT, PBE-GGA
State: relaxed

It has space group F-43m (No. 216), with a = 6.941 Å, b = 6.941 Å, c = 6.941 Å, α = 90.00°, β = 90.00° and γ = 90.00°. The inequivalent atoms are Li at (0.000, 0.000, 0.000), Ce at (0.250, 0.250, 0.250), Pa at (0.250, 0.250, 0.750) and Os at (0.000, 0.000, 0.500).

Its crystal system is cubic. The calculation puts the total magnetization at 0.01 μB per cell. Its density of states at the Fermi level is 6.247 states/eV/f.u. The formation energy is 0.018 eV/atom.


Copy entry 1 word for word.
Material: Li2CeZnO4
Method: DFT, PBE-GGA
State: relaxed

It has space group Cmcm (No. 63), with a = 3.329 Å, b = 11.694 Å, c = 9.489 Å, α = 90.00°, β = 90.00° and γ = 90.00°. The inequivalent atoms are Li at (0.000, 0.093, 0.041), Ce at (0.000, 0.417, 0.250), Zn at (0.000, 0.311, 0.750), O at (0.000, 0.090, 0.250), O at (0.000, 0.176, 0.623) and O at (0.000, 0.500, 0.000).

Its crystal system is orthorhombic. The calculation puts the total magnetization at 0.36 μB per cell. The calculated total energy is -5.987 eV/atom.


Q: Number 2 is which compound?
A: LiCePaOs